Record 1
Compound: Nb3TcAu
Source: the Alexandria database
Functional: PBE-GGA
Structure: optimized geometry Values from VASP.

Structure (Quantum ESPRESSO input):
```
&SYSTEM
  ibrav = 0, nat = 5, ntyp = 3
/
ATOMIC_SPECIES
Nb 92.91 Nb.upf
Tc 98.00 Tc.upf
Au 196.97 Au.upf
ATOMIC_POSITIONS crystal
Nb 0.0000 0.0000 0.5000
Nb 0.0000 0.5000 0.0000
Nb 0.5000 0.0000 0.0000
Tc 0.0000 0.0000 0.0000
Au 0.5000 0.5000 0.5000
CELL_PARAMETERS angstrom
4.7806 0.0000 0.0000
0.0000 4.7806 0.0000
0.0000 0.0000 4.7806
```

Values from the calculation:
- Energy of formation: 981 meV/atom
- Total magnetization: 0.0000 μB per atom
- Energy relative to the lowest polymorph listed for this composition: 0.0 meV per atom

Record 2
Compound: NbTc2Au
Source: the Alexandria database
Functional: PBE-GGA
Structure: optimized geometry Values from VASP.

Structure (Quantum ESPRESSO input):
```
&SYSTEM
  ibrav = 0, nat = 4, ntyp = 3
/
ATOMIC_SPECIES
Nb 92.91 Nb.upf
Tc 98.00 Tc.upf
Au 196.97 Au.upf
ATOMIC_POSITIONS crystal
Nb 0.0000 0.0000 0.0000
Tc 0.0000 0.5000 0.5000
Tc 0.5000 0.0000 0.5000
Au 0.5000 0.5000 0.0000
CELL_PARAMETERS angstrom
4.0143 0.0000 0.0000
0.0000 4.0143 0.0000
0.0000 0.0000 3.9540
```

Values from the calculation:
- Energy of formation: -16 meV/atom
- Total magnetization: 0.0000 μB per atom
- Energy relative to the lowest polymorph listed for this composition: 0.0 meV per atom

Record 3
Compound: NbTcAu
Source: the Alexandria database
Functional: PBE-GGA
Structure: optimized geometry Values from VASP.

Structure (Quantum ESPRESSO input):
```
&SYSTEM
  ibrav = 0, nat = 6, ntyp = 3
/
ATOMIC_SPECIES
Nb 92.91 Nb.upf
Tc 98.00 Tc.upf
Au 196.97 Au.upf
ATOMIC_POSITIONS crystal
Nb 0.0000 0.0000 0.0000
Nb 0.5000 0.5000 0.5000
Tc 0.1645 0.8355 0.5000
Tc 0.8355 0.1645 0.5000
Au 0.3306 0.6694 0.0000
Au 0.6694 0.3306 0.0000
CELL_PARAMETERS angstrom
2.3710 -4.4777 0.0000
2.3710 4.4777 0.0000
-1.3546 0.0000 4.7123
```

Values from the calculation:
- Energy of formation: 32 meV/atom
- Total magnetization: 0.0000 μB per atom
- Energy relative to the lowest polymorph listed for this composition: 89.4 meV per atom

Record 4
Compound: NbTc2Au
Source: the Alexandria database
Functional: PBE-GGA
Structure: optimized geometry Values from VASP.

Structure (Quantum ESPRESSO input):
```
&SYSTEM
  ibrav = 0, nat = 8, ntyp = 3
/
ATOMIC_SPECIES
Nb 92.91 Nb.upf
Tc 98.00 Tc.upf
Au 196.97 Au.upf
ATOMIC_POSITIONS crystal
Nb 0.0000 0.0000 0.0000
Nb 0.7500 0.2500 0.5000
Tc 0.0684 0.6250 0.9434
Tc 0.3750 0.3184 0.4434
Tc 0.6816 0.1250 0.0566
Tc 0.8750 0.9316 0.5566
Au 0.2500 0.7500 0.5000
Au 0.5000 0.5000 0.0000
CELL_PARAMETERS angstrom
-1.9553 1.9553 9.4219
1.9553 -1.9553 9.4219
1.9553 1.9553 -9.4219
```

Values from the calculation:
- Energy of formation: 600 meV/atom
- Total magnetization: 0.0000 μB per atom
- Energy relative to the lowest polymorph listed for this composition: 616.2 meV per atom

Record 5
Compound: Nb2TcAu
Source: the Alexandria database
Functional: PBE-GGA
Structure: optimized geometry Values from VASP.

Structure (Quantum ESPRESSO input):
```
&SYSTEM
  ibrav = 0, nat = 4, ntyp = 3
/
ATOMIC_SPECIES
Nb 92.91 Nb.upf
Tc 98.00 Tc.upf
Au 196.97 Au.upf
ATOMIC_POSITIONS crystal
Nb 0.0000 0.0000 0.2257
Nb 0.0000 0.0000 0.7743
Tc 0.5000 0.5000 0.0000
Au 0.5000 0.5000 0.5000
CELL_PARAMETERS angstrom
3.1510 0.0000 0.0000
0.0000 3.1510 0.0000
0.0000 0.0000 7.0081
```

Values from the calculation:
- Energy of formation: -105 meV/atom
- Total magnetization: 0.0000 μB per atom

Record 6
Compound: NbTcAu
Source: the Alexandria database
Functional: PBE-GGA
Structure: optimized geometry Values from VASP.

Structure (Quantum ESPRESSO input):
```
&SYSTEM
  ibrav = 0, nat = 6, ntyp = 3
/
ATOMIC_SPECIES
Nb 92.91 Nb.upf
Tc 98.00 Tc.upf
Au 196.97 Au.upf
ATOMIC_POSITIONS crystal
Nb 0.0000 0.0000 0.0000
Nb 0.4969 0.0000 0.6814
Tc 0.2507 0.5000 0.8375
Tc 0.7463 0.5000 0.5389
Au 0.1520 0.0000 0.3527
Au 0.5693 0.5000 0.1804
CELL_PARAMETERS angstrom
2.8318 0.0000 0.0000
0.0000 4.2706 0.0000
-1.3880 0.0000 8.4060
```

Values from the calculation:
- Energy of formation: -14 meV/atom
- Total magnetization: 0.0000 μB per atom
- Energy relative to the lowest polymorph listed for this composition: 43.4 meV per atom

Record 7
Compound: NbTcAu
Source: the Alexandria database
Functional: PBE-GGA
Structure: optimized geometry Values from VASP.

Structure (Quantum ESPRESSO input):
```
&SYSTEM
  ibrav = 0, nat = 3, ntyp = 3
/
ATOMIC_SPECIES
Nb 92.91 Nb.upf
Tc 98.00 Tc.upf
Au 196.97 Au.upf
ATOMIC_POSITIONS crystal
Nb 0.0000 0.0000 0.0000
Tc 0.3513 0.3513 0.2169
Au 0.6791 0.6791 0.6199
CELL_PARAMETERS angstrom
5.9719 -1.5703 0.0000
5.9719 1.5703 0.0000
-0.4630 0.0000 2.7774
```

Values from the calculation:
- Energy of formation: 59 meV/atom
- Total magnetization: 0.0000 μB per atom
- Energy relative to the lowest polymorph listed for this composition: 116.6 meV per atom

Record 8
Compound: Nb2Tc2Au
Source: the Alexandria database
Functional: PBE-GGA
Structure: optimized geometry Values from VASP.

Structure (Quantum ESPRESSO input):
```
&SYSTEM
  ibrav = 0, nat = 10, ntyp = 3
/
ATOMIC_SPECIES
Nb 92.91 Nb.upf
Tc 98.00 Tc.upf
Au 196.97 Au.upf
ATOMIC_POSITIONS crystal
Nb 0.1598 0.3402 0.0000
Nb 0.3402 0.8402 0.0000
Nb 0.6598 0.1598 0.0000
Nb 0.8402 0.6598 0.0000
Tc 0.1383 0.6383 0.5000
Tc 0.3617 0.1383 0.5000
Tc 0.6383 0.8617 0.5000
Tc 0.8617 0.3617 0.5000
Au 0.0000 0.0000 0.5000
Au 0.5000 0.5000 0.5000
CELL_PARAMETERS angstrom
7.3797 0.0000 0.0000
0.0000 7.3797 0.0000
0.0000 0.0000 3.1652
```

Values from the calculation:
- Energy of formation: 84 meV/atom
- Total magnetization: 0.0000 μB per atom

Record 9
Compound: NbTc3Au
Source: the Alexandria database
Functional: PBE-GGA
Structure: optimized geometry Values from VASP.

Structure (Quantum ESPRESSO input):
```
&SYSTEM
  ibrav = 0, nat = 5, ntyp = 3
/
ATOMIC_SPECIES
Nb 92.91 Nb.upf
Tc 98.00 Tc.upf
Au 196.97 Au.upf
ATOMIC_POSITIONS crystal
Nb 0.0000 0.0000 0.0000
Tc 0.0000 0.0000 0.5000
Tc 0.0000 0.5000 0.0000
Tc 0.5000 0.0000 0.0000
Au 0.5000 0.5000 0.5000
CELL_PARAMETERS angstrom
4.7041 0.0000 0.0000
0.0000 4.7041 0.0000
0.0000 0.0000 4.7041
```

Values from the calculation:
- Energy of formation: 1766 meV/atom
- Total magnetization: 0.5385 μB per atom
- Energy relative to the lowest polymorph listed for this composition: 0.0 meV per atom

Record 10
Compound: NbTcAu
Source: the Alexandria database
Functional: PBE-GGA
Structure: optimized geometry Values from VASP.

Structure (Quantum ESPRESSO input):
```
&SYSTEM
  ibrav = 0, nat = 6, ntyp = 3
/
ATOMIC_SPECIES
Nb 92.91 Nb.upf
Tc 98.00 Tc.upf
Au 196.97 Au.upf
ATOMIC_POSITIONS crystal
Nb 0.0000 0.0000 0.0000
Nb 0.6888 0.6888 0.3254
Tc 0.0156 0.0156 0.4380
Tc 0.3437 0.3437 0.1464
Au 0.3578 0.3578 0.6520
Au 0.6683 0.6683 0.8039
CELL_PARAMETERS angstrom
4.7846 -1.5785 0.0000
4.7846 1.5785 0.0000
-2.2196 0.0000 6.7955
```

Values from the calculation:
- Energy of formation: 15 meV/atom
- Total magnetization: 0.0000 μB per atom
- Energy relative to the lowest polymorph listed for this composition: 72.7 meV per atom

Record 11
Compound: Nb2TcAu
Source: the Alexandria database
Functional: PBE-GGA
Structure: optimized geometry Values from VASP.

Structure (Quantum ESPRESSO input):
```
&SYSTEM
  ibrav = 0, nat = 8, ntyp = 3
/
ATOMIC_SPECIES
Nb 92.91 Nb.upf
Tc 98.00 Tc.upf
Au 196.97 Au.upf
ATOMIC_POSITIONS crystal
Nb 0.0979 0.6250 0.9729
Nb 0.3750 0.3479 0.4729
Nb 0.6521 0.1250 0.0271
Nb 0.8750 0.9021 0.5271
Tc 0.0000 0.0000 0.0000
Tc 0.7500 0.2500 0.5000
Au 0.2500 0.7500 0.5000
Au 0.5000 0.5000 0.0000
CELL_PARAMETERS angstrom
-3.6384 3.6384 2.7973
3.6384 -3.6384 2.7973
3.6384 3.6384 -2.7973
```

Values from the calculation:
- Energy of formation: 380 meV/atom
- Total magnetization: 0.0000 μB per atom

Record 12
Compound: NbTcAu
Source: the Alexandria database
Functional: PBE-GGA
Structure: optimized geometry Values from VASP.

Structure (Quantum ESPRESSO input):
```
&SYSTEM
  ibrav = 0, nat = 6, ntyp = 3
/
ATOMIC_SPECIES
Nb 92.91 Nb.upf
Tc 98.00 Tc.upf
Au 196.97 Au.upf
ATOMIC_POSITIONS crystal
Nb 0.0000 0.0000 0.0000
Nb 0.3333 0.6667 0.2101
Tc 0.3333 0.6667 0.7776
Tc 0.6667 0.3333 0.8006
Au 0.0000 0.0000 0.5154
Au 0.6667 0.3333 0.2971
CELL_PARAMETERS angstrom
4.5448 0.0000 0.0000
-2.2724 3.9359 0.0000
0.0000 0.0000 5.7358
```

Values from the calculation:
- Energy of formation: 39 meV/atom
- Total magnetization: 0.0000 μB per atom
- Energy relative to the lowest polymorph listed for this composition: 96.9 meV per atom

Record 13
Compound: NbTcAu
Source: the Alexandria database
Functional: PBE-GGA
Structure: optimized geometry Values from VASP.

Structure (Quantum ESPRESSO input):
```
&SYSTEM
  ibrav = 0, nat = 3, ntyp = 3
/
ATOMIC_SPECIES
Nb 92.91 Nb.upf
Tc 98.00 Tc.upf
Au 196.97 Au.upf
ATOMIC_POSITIONS crystal
Nb 0.0000 0.0000 0.0000
Tc 0.3637 0.3637 0.0000
Au 0.6801 0.6801 0.0000
CELL_PARAMETERS angstrom
-1.6675 1.6675 4.6182
1.6675 -1.6675 4.6182
1.6675 1.6675 -4.6182
```

Values from the calculation:
- Energy of formation: 17 meV/atom
- Total magnetization: 0.0001 μB per atom
- Energy relative to the lowest polymorph listed for this composition: 74.4 meV per atom

Record 14
Compound: NbTcAu
Source: the Alexandria database
Functional: PBE-GGA
Structure: optimized geometry Values from VASP.

Structure (Quantum ESPRESSO input):
```
&SYSTEM
  ibrav = 0, nat = 6, ntyp = 3
/
ATOMIC_SPECIES
Nb 92.91 Nb.upf
Tc 98.00 Tc.upf
Au 196.97 Au.upf
ATOMIC_POSITIONS crystal
Nb 0.1975 0.8025 0.5000
Nb 0.8025 0.1975 0.0000
Tc 0.1849 0.5244 0.0318
Tc 0.5244 0.1849 0.5318
Au 0.5000 0.8622 0.0148
Au 0.8622 0.5000 0.5148
CELL_PARAMETERS angstrom
4.5177 -2.4488 0.0000
4.5177 2.4488 0.0000
-0.1268 0.0000 4.5960
```

Values from the calculation:
- Energy of formation: 10 meV/atom
- Total magnetization: 0.0000 μB per atom
- Energy relative to the lowest polymorph listed for this composition: 66.9 meV per atom

Record 15
Compound: NbTcAu
Source: the Alexandria database
Functional: PBE-GGA
Structure: optimized geometry Values from VASP.

Structure (Quantum ESPRESSO input):
```
&SYSTEM
  ibrav = 0, nat = 6, ntyp = 3
/
ATOMIC_SPECIES
Nb 92.91 Nb.upf
Tc 98.00 Tc.upf
Au 196.97 Au.upf
ATOMIC_POSITIONS crystal
Nb 0.0000 0.0000 0.0000
Nb 0.6806 0.6806 0.8186
Tc 0.3139 0.3139 0.1370
Tc 0.6547 0.6547 0.2781
Au 0.0045 0.0045 0.4810
Au 0.3337 0.3337 0.6301
CELL_PARAMETERS angstrom
5.5332 -1.6306 0.0000
5.5332 1.6306 0.0000
-1.8291 0.0000 5.7129
```

Values from the calculation:
- Energy of formation: 29 meV/atom
- Total magnetization: 0.0000 μB per atom
- Energy relative to the lowest polymorph listed for this composition: 86.3 meV per atom

Record 16
Compound: Nb3TcAu
Source: the Alexandria database
Functional: PBE-GGA
Structure: optimized geometry Values from VASP.

Structure (Quantum ESPRESSO input):
```
&SYSTEM
  ibrav = 0, nat = 5, ntyp = 3
/
ATOMIC_SPECIES
Nb 92.91 Nb.upf
Tc 98.00 Tc.upf
Au 196.97 Au.upf
ATOMIC_POSITIONS crystal
Nb 0.0000 0.0000 0.5000
Nb 0.0000 0.5000 0.0000
Nb 0.5000 0.0000 0.0000
Tc 0.5000 0.5000 0.5000
Au 0.0000 0.0000 0.0000
CELL_PARAMETERS angstrom
4.8817 0.0000 0.0000
0.0000 4.8817 0.0000
0.0000 0.0000 4.8817
```

Values from the calculation:
- Energy of formation: 1958 meV/atom
- Total magnetization: 0.0001 μB per atom
- Energy relative to the lowest polymorph listed for this composition: 976.7 meV per atom

Record 17
Compound: NbTc3Au
Source: the Alexandria database
Functional: PBE-GGA
Structure: optimized geometry Values from VASP.

Structure (Quantum ESPRESSO input):
```
&SYSTEM
  ibrav = 0, nat = 5, ntyp = 3
/
ATOMIC_SPECIES
Nb 92.91 Nb.upf
Tc 98.00 Tc.upf
Au 196.97 Au.upf
ATOMIC_POSITIONS crystal
Nb 0.0000 0.0000 0.0000
Tc 0.0000 0.5000 0.5000
Tc 0.5000 0.0000 0.5000
Tc 0.5000 0.5000 0.0000
Au 0.5000 0.5000 0.5000
CELL_PARAMETERS angstrom
4.8053 0.0000 0.0000
0.0000 4.8053 0.0000
0.0000 0.0000 4.8053
```

Values from the calculation:
- Energy of formation: 2325 meV/atom
- Total magnetization: 0.9633 μB per atom
- Energy relative to the lowest polymorph listed for this composition: 559.5 meV per atom

Record 18
Compound: NbZnTc2Au
Source: the Alexandria database
Functional: PBE-GGA
Structure: optimized geometry Values from VASP.

Structure (Quantum ESPRESSO input):
```
&SYSTEM
  ibrav = 0, nat = 5, ntyp = 4
/
ATOMIC_SPECIES
Nb 92.91 Nb.upf
Zn 65.41 Zn.upf
Tc 98.00 Tc.upf
Au 196.97 Au.upf
ATOMIC_POSITIONS crystal
Nb 0.0000 0.0000 0.0000
Zn 0.5000 0.5000 0.5000
Tc 0.0000 0.5000 0.0000
Tc 0.5000 0.0000 0.0000
Au 0.0000 0.0000 0.5000
CELL_PARAMETERS angstrom
4.7330 0.0000 0.0000
0.0000 4.7330 0.0000
0.0000 0.0000 5.1547
```

Values from the calculation:
- Energy of formation: 1510 meV/atom
- Total magnetization: 0.5204 μB per atom

Record 19
Compound: NbTe6Au2
Source: the Alexandria database
Functional: PBE-GGA
Structure: optimized geometry Values from VASP.

Structure (Quantum ESPRESSO input):
```
&SYSTEM
  ibrav = 0, nat = 9, ntyp = 3
/
ATOMIC_SPECIES
Nb 92.91 Nb.upf
Te 127.60 Te.upf
Au 196.97 Au.upf
ATOMIC_POSITIONS crystal
Nb 0.0000 0.0000 0.0000
Te 0.9997 0.4139 0.7616
Te 0.1244 0.9178 0.6357
Te 0.4139 0.7616 0.9997
Te 0.6357 0.1244 0.9178
Te 0.7616 0.9997 0.4139
Te 0.9178 0.6357 0.1244
Au 0.2637 0.2637 0.2637
Au 0.3891 0.3891 0.3891
CELL_PARAMETERS angstrom
3.5225 2.0337 7.4615
-3.5225 2.0337 7.4615
0.0000 -4.0674 7.4615
```

Values from the calculation:
- Formation energy (no corrections): 0.07 eV/atom
- Total magnetization: 0.0000 μB per atom

Record 20
Compound: Nb3TeAu
Source: the Alexandria database
Functional: PBE-GGA
Structure: optimized geometry Values from VASP.

Structure (Quantum ESPRESSO input):
```
&SYSTEM
  ibrav = 0, nat = 5, ntyp = 3
/
ATOMIC_SPECIES
Nb 92.91 Nb.upf
Te 127.60 Te.upf
Au 196.97 Au.upf
ATOMIC_POSITIONS crystal
Nb 0.0000 0.0000 0.5000
Nb 0.0000 0.5000 0.0000
Nb 0.5000 0.0000 0.0000
Te 0.5000 0.5000 0.5000
Au 0.0000 0.0000 0.0000
CELL_PARAMETERS angstrom
5.0105 0.0000 0.0000
0.0000 5.0105 0.0000
0.0000 0.0000 5.0105
```

Values from the calculation:
- Formation energy (no corrections): 1.32 eV/atom
- Total magnetization: 0.0000 μB per atom
- Energy relative to the lowest polymorph listed for this composition: 0.0 meV per atom